Here is a relaxed RbCoF2 crystal from the Alexandria database. Energies are from PBE with a Hubbard U.

Lattice parameters (Å, degrees): 4.1502 4.1502 19.5584 90.00 90.00 120.00
Sites, in units of the cell vectors:
Rb: 0.0000 0.0000 0.0000
Rb: 0.3333 0.6667 0.6667
Rb: 0.6667 0.3333 0.3333
Co: 0.0000 0.0000 0.5000
Co: 0.3333 0.6667 0.1667
Co: 0.6667 0.3333 0.8333
F: 0.0000 0.0000 0.4069
F: 0.0000 0.0000 0.5931
F: 0.3333 0.6667 0.0736
F: 0.3333 0.6667 0.2598
F: 0.6667 0.3333 0.7402
F: 0.6667 0.3333 0.9264

Computed properties:
DFT total energy: -17.03 eV/f.u.